BaTl5 at its PBEsol-relaxed geometry. Source: Alexandria, functional SCAN.

For the total energy, the calculation gives -805.69 eV for the cell shown. The density of states at the Fermi level is 3.185 states/eV/f.u. The magnetic moment comes out at 0.000 μB per formula unit.

The space group is C2/m (No. 12) and the conventional cell measures 11.050, 4.805 and 7.286 Å, with angles of 90.00, 109.80 and 90.00 degrees. Symmetry generates all atoms from Ba at (0.000, 0.000, 0.000), Tl at (0.000, 0.000, 0.500), Tl at (0.158, 0.500, 0.795) and Tl at (0.182, 0.500, 0.345).